Crystalline Rb2CuF4 at its relaxed geometry. Source: OQMD via LeMat-Bulk, functional GGA-PBE.

a = 4.2853 Å, b = 12.2628 Å, c = 3.8584 Å
α = 90.00°, β = 90.00°, γ = 90.00°
With the nearest neighbours (Å) after each atom.
Space group Cmmm (No. 65)
Unique sites:
1 Rb 0.0000 0.1535 0.0000  10 F 2.70-2.98
2 Cu 0.0000 0.5000 0.5000  6 F 1.93-2.14
3 F 0.0000 0.0000 0.5000  2 Cu 2.14
4 F 0.0000 0.3386 0.5000  1 Cu 1.98
5 F 0.0000 0.5000 0.0000  2 Cu 1.93

**Energy above the lowest structure with this stoichiometry**: 6.7 kJ per mole of atoms
**Uncorrected energy**: -4.03 eV/atom